Entry 1:
## LiTb4Mg2 (PBE)

Data for crystalline LiTb4Mg2 at its relaxed geometry.

The space group is R-3m (No. 166, hexagonal axes) and the conventional cell measures 5.3089, 5.3089 and 25.5228 Å, with angles of 90.00, 90.00 and 120.00 degrees. The asymmetric unit holds Li at (0.0000, 0.0000, 0.0000), Tb at (0.0000, 0.0000, 0.1283), Tb at (0.0000, 0.0000, 0.3809) and Mg at (0.0000, 0.0000, 0.2548).

As for the total energy: -3.184 eV/atom. For the density of states at the Fermi level, the calculation gives 35.35 states/eV per cell. Its magnetic moment is 0.000 μB per atom.


Entry 2:
## LiTb5Mg4 (PBE)

Data for crystalline LiTb5Mg4 at its relaxed geometry.

The space group is P4/mmm (No. 123) and the conventional cell measures 3.7916, 3.7916 and 18.8719 Å, with angles of 90.00, 90.00 and 90.00 degrees. The asymmetric unit holds Li at (0.0000, 0.0000, 0.0000), Tb at (0.5000, 0.5000, 0.0997), Tb at (0.5000, 0.5000, 0.2985), Tb at (0.5000, 0.5000, 0.5000), Mg at (0.0000, 0.0000, 0.1993) and Mg at (0.0000, 0.0000, 0.3990).

As for the total energy: -3.185 eV/atom. For the density of states at the Fermi level, the calculation gives 12.24 states/eV per cell. Its magnetic moment is 0.000 μB per atom.


Entry 3:
## Li2TbMg3 (PBE)

Data for crystalline Li2TbMg3 at its relaxed geometry.

The space group is P6_3/mmc (No. 194) and the conventional cell measures 5.0206, 5.0206 and 12.9821 Å, with angles of 90.00, 90.00 and 120.00 degrees. The asymmetric unit holds Li at (0.3333, 0.6667, 0.1133), Tb at (0.0000, 0.0000, 0.2500), Mg at (0.0000, 0.0000, 0.0000) and Mg at (0.3333, 0.6667, 0.6205).

For the density of states at the Fermi level, the calculation gives 11.31 states/eV per cell. For the energy above the most stable polymorph in this dataset, the calculation gives 58.2 meV per atom. Its magnetic moment is 0.000 μB per atom.


Entry 4:
## Li2TbMg (PBE)

Data for crystalline Li2TbMg at its relaxed geometry.

The space group is P4/mmm (No. 123) and the conventional cell measures 3.5584, 3.5584 and 7.2546 Å, with angles of 90.00, 90.00 and 90.00 degrees. The asymmetric unit holds Li at (0.0000, 0.0000, 0.2142), Tb at (0.5000, 0.5000, 0.5000) and Mg at (0.5000, 0.5000, 0.0000).

For the density of states at the Fermi level, the calculation gives 2.97 states/eV per cell. For the energy above the most stable polymorph in this dataset, the calculation gives 0.0 meV per atom. Its magnetic moment is 0.005 μB per atom.